Density functional theory data (PBE with a Hubbard U) for LiNiF5 after structural relaxation.

Computed properties:
Electronic total energy ... -3.73 eV/atom
Density ... 3.1 g/cm³

Cell: 7.462 8.305 6.537 Å, 90.00 120.56 90.00°
Space group C2/c (No. 15)
One atom of each set of equivalent atoms:
1 Li 0.000 0.118 0.250
2 Ni 0.250 0.250 0.000
3 F 0.000 0.326 0.750
4 F 0.158 0.285 0.201
5 F 0.166 0.047 0.978